1.
NaLuMg GGA-PBE relaxed; DFT formation energy = 0.155 eV per atom; theoretical density = 4.28 Mg/m³
1.0
3.364 0.000 0.000
-1.682 2.914 0.000
0.000 0.000 8.801
Lu Mg Na
1 1 1
Direct
0.333 0.667 0.648
0.667 0.333 0.342
0.000 0.000 0.010

=====

2.
NaLuMg2 GGA-PBE relaxed; DFT formation energy = 0.090 eV per atom; energy above the most stable polymorph in this dataset = 0.039 eV per atom; theoretical density = 3.77 Mg/m³
1.0
3.462 0.000 0.000
0.000 5.602 0.000
0.000 0.000 5.602
Mg Na Lu
2 1 1
Direct
0.000 0.000 0.500
0.000 0.500 0.000
0.500 0.500 0.500
0.500 0.000 0.000

=====

3.
NaLuMgPb GGA-PBE relaxed; DFT formation energy = -0.117 eV per atom; theoretical density = 6.67 Mg/m³
1.0
5.328 0.000 0.000
2.664 4.614 0.000
2.664 1.538 4.350
Mg Na Lu Pb
1 1 1 1
Direct
0.000 0.000 0.000
0.250 0.250 0.250
0.750 0.750 0.750
0.500 0.500 0.500

=====

4.
Lu2MgNb GGA-PBE relaxed; DFT formation energy = 0.098 eV per atom; theoretical density = 7.91 Mg/m³
1.0
3.294 0.000 0.000
0.000 3.294 0.000
0.000 0.000 9.036
Mg Nb Lu
1 1 2
Direct
0.500 0.500 0.500
0.500 0.500 0.000
0.000 0.000 0.230
0.000 0.000 0.770

=====

5.
LuMgNbTc GGA-PBE relaxed; DFT formation energy = 0.036 eV per atom; theoretical density = 8.54 Mg/m³
1.0
-2.639 -2.795 2.793
2.017 -2.329 3.617
-0.922 1.304 4.475
Tc Lu Nb Mg
1 1 1 1
Direct
0.250 0.250 0.250
0.500 0.500 0.500
0.000 0.000 0.000
0.750 0.750 0.750

=====

6.
LuMgZrNb GGA-PBE relaxed; DFT formation energy = 0.172 eV per atom; theoretical density = 7.21 Mg/m³
1.0
4.998 0.000 0.000
2.499 4.328 0.000
2.499 1.443 4.081
Nb Lu Zr Mg
1 1 1 1
Direct
0.750 0.750 0.750
0.500 0.500 0.500
0.000 0.000 0.000
0.250 0.250 0.250

=====

7.
NdLu2Mg GGA-PBE relaxed; DFT formation energy = 0.120 eV per atom; energy above the most stable polymorph in this dataset = 0.135 eV per atom; theoretical density = 7.35 Mg/m³
1.0
5.493 0.000 0.000
2.746 4.757 0.000
2.746 1.586 4.485
Lu Nd Mg
2 1 1
Direct
0.750 0.750 0.750
0.250 0.250 0.250
0.000 0.000 0.000
0.500 0.500 0.500

=====

8.
NdLuMg4 GGA-PBE relaxed; DFT formation energy = -0.065 eV per atom; theoretical density = 4.42 Mg/m³
1.0
-0.255 1.070 -5.949
4.647 -1.544 -3.553
-0.559 -4.607 -3.881
Lu Nd Mg
1 1 4
Direct
0.000 0.000 0.000
0.250 0.250 0.250
0.625 0.625 0.625
0.125 0.625 0.625
0.625 0.125 0.625
0.625 0.625 0.125

=====

Question: Among the records above, which one has the lowest DFT formation energy?
Answer: NaLuMgPb

=====

Please write out number 3 again, unchanged.
NaLuMgPb GGA-PBE relaxed; DFT formation energy = -0.117 eV per atom; theoretical density = 6.67 Mg/m³
1.0
5.328 0.000 0.000
2.664 4.614 0.000
2.664 1.538 4.350
Mg Na Lu Pb
1 1 1 1
Direct
0.000 0.000 0.000
0.250 0.250 0.250
0.750 0.750 0.750
0.500 0.500 0.500

=====

Question: The highest theoretical density belongs to which entry?
Answer: LuMgNbTc

=====

Question: The highest DFT formation energy belongs to which entry?
Answer: LuMgZrNb